Below is K2GdNb5O15 after structural relaxation, with properties calculated at the PBEsol level.

Cell: 3.9263 12.6411 12.6411 Å, 90.00 90.00 90.00°
Fractional positions:
O (0.5000, 0.5788, 0.6861)
O (0.0000, 0.8688, 0.0588)
O (0.0000, 0.7823, 0.2823)
O (0.5000, 0.0788, 0.8139)
O (0.5000, 0.8139, 0.9212)
Nb (0.0000, 0.2119, 0.0769)
O (0.0000, 0.4412, 0.6312)
Nb (0.0000, 0.0000, 0.5000)
Nb (0.0000, 0.0769, 0.7881)
O (0.0000, 0.8419, 0.5014)
O (0.0000, 0.6581, 0.0014)
O (0.5000, 0.3139, 0.5788)
Gd (0.5000, 0.0000, 0.0000)
O (0.0000, 0.4986, 0.8419)
O (0.0000, 0.3419, 0.9986)
O (0.5000, 0.5000, 0.0000)
O (0.0000, 0.1581, 0.4986)
Nb (0.0000, 0.2881, 0.5769)
K (0.5000, 0.6699, 0.1699)
Nb (0.0000, 0.4231, 0.2881)
O (0.0000, 0.6312, 0.5588)
O (0.0000, 0.7177, 0.7823)
O (0.0000, 0.3688, 0.4412)
O (0.5000, 0.4212, 0.3139)
O (0.5000, 0.1861, 0.0788)
Gd (0.5000, 0.5000, 0.5000)
K (0.5000, 0.3301, 0.8301)
O (0.0000, 0.5014, 0.1581)
O (0.0000, 0.2177, 0.7177)
K (0.5000, 0.1699, 0.3301)
O (0.0000, 0.0588, 0.1312)
K (0.5000, 0.8301, 0.6699)
O (0.0000, 0.9412, 0.8688)
Nb (0.0000, 0.7119, 0.4231)
O (0.0000, 0.5588, 0.3688)
O (0.0000, 0.1312, 0.9412)
Nb (0.0000, 0.9231, 0.2119)
O (0.5000, 0.9212, 0.1861)
O (0.5000, 0.0000, 0.5000)
O (0.0000, 0.2823, 0.2177)
O (0.0000, 0.0014, 0.3419)
O (0.5000, 0.6861, 0.4212)
Nb (0.0000, 0.7881, 0.9231)
Nb (0.0000, 0.5000, 0.0000)
O (0.0000, 0.9986, 0.6581)
Nb (0.0000, 0.5769, 0.7119)

Results
Theoretical density (g/cm3): 4.98
Final energy (eV/atom): -9.126
Symmetry: P4/mbm
Calculated volume (Å³ per cell): 627